(1)
# Pu2BeAs4 (PBE, relaxed)
data_Pu2BeAs4
_space_group_name_H-M_alt 'P 1'
_space_group_IT_number 1
_cell_length_a 3.9440
_cell_length_b 3.9440
_cell_length_c 8.9696
_cell_angle_alpha 90.00
_cell_angle_beta 90.00
_cell_angle_gamma 90.00
loop_
_space_group_symop_operation_xyz
'x,y,z'
loop_
_atom_site_label
_atom_site_type_symbol
_atom_site_fract_x
_atom_site_fract_y
_atom_site_fract_z
Be1 Be 0.5000 0.5000 0.0000
As1 As 0.5000 0.0000 0.1365
As2 As 0.0000 0.5000 0.8635
As3 As 0.5000 0.5000 0.5000
As4 As 0.0000 0.0000 0.5000
Pu1 Pu 0.5000 0.0000 0.7566
Pu2 Pu 0.0000 0.5000 0.2434
# Formation enthalpy at 0 K (eV per formula unit): -4.68

(2)
# PuBeAs2 (PBE, relaxed)
data_PuBeAs2
_space_group_name_H-M_alt 'P 1'
_space_group_IT_number 1
_cell_length_a 3.1229
_cell_length_b 3.1229
_cell_length_c 9.3579
_cell_angle_alpha 80.39
_cell_angle_beta 80.39
_cell_angle_gamma 60.00
loop_
_space_group_symop_operation_xyz
'x,y,z'
loop_
_atom_site_label
_atom_site_type_symbol
_atom_site_fract_x
_atom_site_fract_y
_atom_site_fract_z
Be1 Be 0.5000 0.5000 0.5000
As1 As 0.1065 0.1065 0.6804
As2 As 0.8935 0.8935 0.3196
Pu1 Pu 0.0000 0.0000 0.0000
# Energy above the lowest structure with this stoichiometry (kJ/mol of formula units): 298
# Formation enthalpy at 0 K (eV per formula unit): 0.83

(3)
# PuBeAs2 (PBE, relaxed)
data_PuBeAs2
_space_group_name_H-M_alt 'P 1'
_space_group_IT_number 1
_cell_length_a 3.9153
_cell_length_b 3.9153
_cell_length_c 9.5492
_cell_angle_alpha 90.00
_cell_angle_beta 90.00
_cell_angle_gamma 90.00
loop_
_space_group_symop_operation_xyz
'x,y,z'
loop_
_atom_site_label
_atom_site_type_symbol
_atom_site_fract_x
_atom_site_fract_y
_atom_site_fract_z
Pu1 Pu 0.0000 0.5000 0.2617
Pu2 Pu 0.5000 0.0000 0.7383
Be1 Be 0.5000 0.5000 0.0000
Be2 Be 0.0000 0.0000 0.0000
As1 As 0.5000 0.0000 0.1398
As2 As 0.0000 0.5000 0.8602
As3 As 0.0000 0.0000 0.5000
As4 As 0.5000 0.5000 0.5000
# Energy above the lowest structure with this stoichiometry (kJ/mol of formula units): 0
# Formation enthalpy at 0 K (eV per formula unit): -2.26

(4)
# PuBe3As3 (PBE, relaxed)
data_PuBe3As3
_space_group_name_H-M_alt 'P 1'
_space_group_IT_number 1
_cell_length_a 6.3301
_cell_length_b 6.3301
_cell_length_c 6.3301
_cell_angle_alpha 90.00
_cell_angle_beta 90.00
_cell_angle_gamma 90.00
loop_
_space_group_symop_operation_xyz
'x,y,z'
loop_
_atom_site_label
_atom_site_type_symbol
_atom_site_fract_x
_atom_site_fract_y
_atom_site_fract_z
Be1 Be 0.2500 0.0000 0.5000
Be2 Be 0.0000 0.5000 0.2500
Be3 Be 0.5000 0.7500 0.0000
Be4 Be 0.7500 0.0000 0.5000
Be5 Be 0.0000 0.5000 0.7500
Be6 Be 0.5000 0.2500 0.0000
As1 As 0.0000 0.2500 0.5000
As2 As 0.0000 0.7500 0.5000
As3 As 0.5000 0.0000 0.7500
As4 As 0.7500 0.5000 0.0000
As5 As 0.5000 0.0000 0.2500
As6 As 0.2500 0.5000 0.0000
Pu1 Pu 0.5000 0.5000 0.5000
Pu2 Pu 0.0000 0.0000 0.0000
# Energy above the lowest structure with this stoichiometry (kJ/mol of formula units): 103
# Formation enthalpy at 0 K (eV per formula unit): -1.21

(5)
# Pu3BeAs2Rh9 (PBE, relaxed)
data_Pu3BeAs2Rh9
_space_group_name_H-M_alt 'P 1'
_space_group_IT_number 1
_cell_length_a 5.8080
_cell_length_b 5.8080
_cell_length_c 9.3565
_cell_angle_alpha 90.00
_cell_angle_beta 90.00
_cell_angle_gamma 120.00
loop_
_space_group_symop_operation_xyz
'x,y,z'
loop_
_atom_site_label
_atom_site_type_symbol
_atom_site_fract_x
_atom_site_fract_y
_atom_site_fract_z
Pu1 Pu 0.3333 0.6667 0.6804
Pu2 Pu 0.0000 0.0000 0.0000
Pu3 Pu 0.6667 0.3333 0.3196
Be1 Be 0.0000 0.0000 0.5000
As1 As 0.3333 0.6667 0.1854
As2 As 0.6667 0.3333 0.8146
Rh1 Rh 0.8241 0.1759 0.6200
Rh2 Rh 0.8241 0.6481 0.6200
Rh3 Rh 0.3519 0.1759 0.6200
Rh4 Rh 0.6481 0.8241 0.3800
Rh5 Rh 0.1759 0.3519 0.3800
Rh6 Rh 0.1759 0.8241 0.3800
Rh7 Rh 0.5000 0.0000 0.0000
Rh8 Rh 0.0000 0.5000 0.0000
Rh9 Rh 0.5000 0.5000 0.0000
# Formation enthalpy at 0 K (eV per formula unit): -4.79

(6)
# PuBeAsS (PBE, relaxed)
data_PuBeAsS
_space_group_name_H-M_alt 'P 1'
_space_group_IT_number 1
_cell_length_a 4.2607
_cell_length_b 4.2607
_cell_length_c 8.0910
_cell_angle_alpha 90.00
_cell_angle_beta 90.00
_cell_angle_gamma 90.00
loop_
_space_group_symop_operation_xyz
'x,y,z'
loop_
_atom_site_label
_atom_site_type_symbol
_atom_site_fract_x
_atom_site_fract_y
_atom_site_fract_z
Pu1 Pu 0.5000 0.0000 0.7050
Pu2 Pu 0.0000 0.5000 0.2950
Be1 Be 0.5000 0.5000 0.0000
Be2 Be 0.0000 0.0000 0.0000
As1 As 0.0000 0.5000 0.8703
As2 As 0.5000 0.0000 0.1297
S1 S 0.0000 0.0000 0.5000
S2 S 0.5000 0.5000 0.5000
# Formation energy without anion corrections (eV/f.u.): -3.0

(7)
# Rb2BeAs (PBE, relaxed)
data_Rb2BeAs
_space_group_name_H-M_alt 'P 1'
_space_group_IT_number 1
_cell_length_a 5.8409
_cell_length_b 5.8409
_cell_length_c 5.8409
_cell_angle_alpha 60.00
_cell_angle_beta 60.00
_cell_angle_gamma 60.00
loop_
_space_group_symop_operation_xyz
'x,y,z'
loop_
_atom_site_label
_atom_site_type_symbol
_atom_site_fract_x
_atom_site_fract_y
_atom_site_fract_z
Be1 Be 0.0000 0.0000 0.0000
As1 As 0.5000 0.5000 0.5000
Rb1 Rb 0.2500 0.2500 0.2500
Rb2 Rb 0.7500 0.7500 0.7500
# Energy above the lowest structure with this stoichiometry (kJ/mol of formula units): 0
# Formation enthalpy at 0 K (eV per formula unit): 2.46

(8)
# RbBeAs (PBE, relaxed)
data_RbBeAs
_space_group_name_H-M_alt 'P 1'
_space_group_IT_number 1
_cell_length_a 5.5983
_cell_length_b 3.9233
_cell_length_c 3.9233
_cell_angle_alpha 120.00
_cell_angle_beta 90.00
_cell_angle_gamma 90.00
loop_
_space_group_symop_operation_xyz
'x,y,z'
loop_
_atom_site_label
_atom_site_type_symbol
_atom_site_fract_x
_atom_site_fract_y
_atom_site_fract_z
Be1 Be 0.1668 0.3333 0.6667
As1 As 0.1665 0.0000 0.0000
Rb1 Rb 0.6666 0.6667 0.3333
# Formation enthalpy at 0 K (eV per formula unit): -1.02

Number 1: total magnetization 1.370 μB/atom. Number 2: total magnetization 1.421 μB/atom. Number 3: total magnetization 1.387 μB/atom. Number 4: total magnetization 0.812 μB/atom. Number 5: total magnetization 0.884 μB/atom. Number 6: total magnetization 1.234 μB/atom. Number 7: total magnetization 0.218 μB/atom. Number 8: total magnetization 0.000 μB/atom.